Entry 1:
Density functional theory data (GGA-PBE) for crystalline CeUNiRh at its relaxed geometry.

Lattice parameters (Å, degrees): 6.513 6.513 6.513 90.00 90.00 90.00
Space group F-43m (No. 216)
Inequivalent atoms, fractional coordinates:
Ce (0.000, 0.000, 0.000)
U (0.250, 0.250, 0.250)
Ni (0.250, 0.250, 0.750)
Rh (0.000, 0.000, 0.500)

Properties
The calculated total energy is -7.99 eV/atom. As for the crystal system: cubic. For the total moment, the calculation gives 1.113 μB/f.u. The volume is 17.27 Å³/atom. Its calculated formation energy is -0.401 eV/atom. The calculation puts the density of states at the Fermi level at 7.6 states/eV/f.u.



Entry 2:
Density functional theory data (GGA-PBE) for crystalline RbTiRe3 at its relaxed geometry.

Lattice parameters (Å, degrees): 4.779 4.779 4.779 90.00 90.00 90.00
Space group Pm-3m (No. 221)
Inequivalent atoms, fractional coordinates:
Rb (0.000, 0.000, 0.000)
Ti (0.500, 0.500, 0.500)
Re (0.000, 0.500, 0.500)

Properties
The energy relative to the lowest polymorph listed for this composition is 0.0 meV per atom. The calculated total energy is -6.97 eV/atom. As for the crystal system: cubic. For the total moment, the calculation gives 0.000 μB/f.u. The volume is 21.83 Å³/atom. Its calculated formation energy is 2.272 eV/atom. The calculation puts the density of states at the Fermi level at 6.4 states/eV/f.u.



Entry 3:
Density functional theory data (GGA-PBE) for crystalline BaYRu2 at its relaxed geometry.

Lattice parameters (Å, degrees): 8.962 3.381 6.879 90.00 102.04 90.00
Space group C2/m (No. 12)
Inequivalent atoms, fractional coordinates:
Ba (0.000, 0.000, 0.000)
Y (0.000, 0.500, 0.500)
Ru (0.246, 0.000, 0.659)

Properties
The calculated total energy is -6.31 eV/atom. As for the crystal system: monoclinic. For the total moment, the calculation gives 0.000 μB/f.u. The volume is 25.48 Å³/atom. Its calculated formation energy is 0.430 eV/atom. The calculation puts the density of states at the Fermi level at 2.9 states/eV/f.u.



Entry 4:
Density functional theory data (GGA-PBE) for crystalline CsCd4Ga at its relaxed geometry.

Lattice parameters (Å, degrees): 8.913 8.913 8.913 90.00 90.00 90.00
Space group F-43m (No. 216)
Inequivalent atoms, fractional coordinates:
Cs (0.000, 0.000, 0.000)
Cd (0.123, 0.123, 0.623)
Ga (0.250, 0.250, 0.250)

Properties
The energy relative to the lowest polymorph listed for this composition is 108.7 meV per atom. The calculated total energy is -1.16 eV/atom. As for the crystal system: cubic. For the total moment, the calculation gives 0.000 μB/f.u. The volume is 29.50 Å³/atom. Its calculated formation energy is 0.099 eV/atom. The calculation puts the density of states at the Fermi level at 6.0 states/eV/f.u.



Entry 5:
Density functional theory data (GGA-PBE) for crystalline LiTmAl at its relaxed geometry.

Lattice parameters (Å, degrees): 4.533 3.163 5.187 90.00 90.16 90.00
Space group P2/m (No. 10)
Inequivalent atoms, fractional coordinates:
Li (0.000, 0.000, 0.000)
Tm (0.500, 0.000, 0.500)
Al (0.500, 0.500, 0.000)

Properties
The energy relative to the lowest polymorph listed for this composition is 314.0 meV per atom. The calculated total energy is -3.26 eV/atom. As for the crystal system: monoclinic. For the total moment, the calculation gives 0.000 μB/f.u. The volume is 24.79 Å³/atom. Its calculated formation energy is 0.115 eV/atom. The calculation puts the density of states at the Fermi level at 2.7 states/eV/f.u.



Entry 6:
Density functional theory data (GGA-PBE) for crystalline MnNiMo4 at its relaxed geometry.

Lattice parameters (Å, degrees): 7.282 7.282 7.282 90.00 90.00 90.00
Space group F-43m (No. 216)
Inequivalent atoms, fractional coordinates:
Mn (0.000, 0.000, 0.000)
Ni (0.250, 0.250, 0.250)
Mo (0.125, 0.125, 0.625)

Properties
The calculated total energy is -9.17 eV/atom. As for the crystal system: cubic. For the total moment, the calculation gives 3.015 μB/f.u. The volume is 16.09 Å³/atom. Its calculated formation energy is 0.538 eV/atom. The calculation puts the density of states at the Fermi level at 7.9 states/eV/f.u.



Q: Which formula does entry 2 have?
A: RbTiRe3



Q: The highest calculated total energy belongs to which entry?
A: CsCd4Ga



What did the second record say?
Density functional theory data (GGA-PBE) for crystalline RbTiRe3 at its relaxed geometry.

Lattice parameters (Å, degrees): 4.779 4.779 4.779 90.00 90.00 90.00
Space group Pm-3m (No. 221)
Inequivalent atoms, fractional coordinates:
Rb (0.000, 0.000, 0.000)
Ti (0.500, 0.500, 0.500)
Re (0.000, 0.500, 0.500)

Properties
The energy relative to the lowest polymorph listed for this composition is 0.0 meV per atom. The calculated total energy is -6.97 eV/atom. As for the crystal system: cubic. For the total moment, the calculation gives 0.000 μB/f.u. The volume is 21.83 Å³/atom. Its calculated formation energy is 2.272 eV/atom. The calculation puts the density of states at the Fermi level at 6.4 states/eV/f.u.



Q: Which formula does entry 1 have?
A: CeUNiRh